No. 1
DFT (GGA-PBE) results for crystalline HfSi3Sb at its relaxed geometry.

Its crystal system is cubic. As for the energy relative to the elements, uncorrected: 0.8505 eV/atom. Its symmetry is No. 221. As for the energy relative to the lowest polymorph listed for this composition: 0.000 eV per atom. As for the density of states at the Fermi level: 3.0 states/eV/f.u.

abc: 5.0761 5.0761 5.0761
angles: 90.00 90.00 90.00
With the nearest neighbours (Å) after each atom.
Positions (direct):
Hf 0.0000 0.0000 0.0000  6 Si 2.54
Si 0.0000 0.0000 0.5000  2 Hf 2.54
Si 0.0000 0.5000 0.0000  2 Hf 2.54
Si 0.5000 0.0000 0.0000  2 Hf 2.54
Sb 0.5000 0.5000 0.5000  12 Si 3.59

No. 2
DFT (GGA-PBE) results for crystalline HfSiSb3 at its relaxed geometry.

Its crystal system is cubic. As for the energy relative to the elements, uncorrected: 0.7078 eV/atom. Its symmetry is No. 221. As for the energy relative to the lowest polymorph listed for this composition: 0.000 eV per atom. As for the density of states at the Fermi level: 4.5 states/eV/f.u.

abc: 5.4796 5.4796 5.4796
angles: 90.00 90.00 90.00
With the nearest neighbours (Å) after each atom.
Positions (direct):
Hf 0.0000 0.0000 0.0000  6 Sb 2.74
Si 0.5000 0.5000 0.5000  12 Sb 3.87
Sb 0.0000 0.0000 0.5000  2 Hf 2.74
Sb 0.0000 0.5000 0.0000  2 Hf 2.74
Sb 0.5000 0.0000 0.0000  2 Hf 2.74

No. 3
DFT (GGA-PBE) results for crystalline HfSi2TcSb at its relaxed geometry.

Its crystal system is tetragonal. As for the energy relative to the elements, uncorrected: 0.2120 eV/atom. Its symmetry is No. 123. As for the energy relative to the lowest polymorph listed for this composition: 0.000 eV per atom. As for the density of states at the Fermi level: 2.5 states/eV/f.u.

abc: 4.5936 4.5936 5.1806
angles: 90.00 90.00 90.00
With the nearest neighbours (Å) after each atom.
Positions (direct):
Hf 0.0000 0.0000 0.0000  2 Tc 2.59
Si 0.0000 0.5000 0.5000  2 Tc 2.30
Si 0.5000 0.0000 0.5000  2 Tc 2.30
Tc 0.0000 0.0000 0.5000  4 Si 2.30
Sb 0.5000 0.5000 0.0000  4 Hf 3.25, 8 Si 3.46

No. 4
DFT (GGA-PBE) results for crystalline HfSi2TcSb at its relaxed geometry.

Its crystal system is tetragonal. As for the energy relative to the elements, uncorrected: 0.5650 eV/atom. Its symmetry is No. 123. As for the energy relative to the lowest polymorph listed for this composition: 0.353 eV per atom. As for the density of states at the Fermi level: 1.7 states/eV/f.u.

abc: 4.4982 4.4982 5.5179
angles: 90.00 90.00 90.00
With the nearest neighbours (Å) after each atom.
Positions (direct):
Hf 0.0000 0.0000 0.0000  4 Sb 3.18, 8 Si 3.56
Si 0.0000 0.5000 0.5000  2 Tc 2.25
Si 0.5000 0.0000 0.5000  2 Tc 2.25
Tc 0.5000 0.5000 0.5000  4 Si 2.25
Sb 0.5000 0.5000 0.0000  2 Tc 2.76

No. 5
DFT (GGA-PBE) results for crystalline SmHfSb2 at its relaxed geometry.

Its crystal system is trigonal. As for the energy relative to the elements, uncorrected: -0.7352 eV/atom. Its symmetry is No. 160. As for the energy relative to the lowest polymorph listed for this composition: 0.000 eV per atom. As for the density of states at the Fermi level: 3.0 states/eV/f.u.

abc: 7.6961 7.6961 7.6961
angles: 31.73 31.73 31.73
With the nearest neighbours (Å) after each atom.
Positions (direct):
Sm 0.0000 0.0000 0.0000  6 Sb 3.12-3.19
Hf 0.8275 0.8275 0.8275  6 Sb 2.89-2.97
Sb 0.2388 0.2388 0.2388  3 Hf 2.97, 3 Sm 3.19
Sb 0.4230 0.4230 0.4230  3 Hf 2.89, 3 Sm 3.12

No. 6
DFT (GGA-PBE) results for crystalline SmHfSb2 at its relaxed geometry.

Its crystal system is trigonal. As for the energy relative to the elements, uncorrected: -0.1345 eV/atom. Its symmetry is No. 166. As for the energy relative to the lowest polymorph listed for this composition: 0.601 eV per atom. As for the density of states at the Fermi level: 2.3 states/eV/f.u.

abc: 10.3029 10.3029 10.3029
angles: 21.27 21.27 21.27
With the nearest neighbours (Å) after each atom.
Positions (direct):
Sm 0.0000 0.0000 0.0000  2 Sb 3.12
Hf 0.5000 0.5000 0.5000  6 Sb 2.91
Sb 0.1034 0.1034 0.1034  3 Hf 2.91, 1 Sm 3.12
Sb 0.8966 0.8966 0.8966  3 Hf 2.91, 1 Sm 3.12

No. 7
DFT (GGA-PBE) results for crystalline SmHfSb at its relaxed geometry.

Its crystal system is tetragonal. As for the energy relative to the elements, uncorrected: -0.7343 eV/atom. Its symmetry is No. 129. As for the density of states at the Fermi level: 2.4 states/eV/f.u.

abc: 4.3358 4.3358 8.3231
angles: 90.00 90.00 90.00
With the nearest neighbours (Å) after each atom.
Positions (direct):
Sm 0.2500 0.2500 0.1484  5 Sb 3.17-3.26
Sm 0.7500 0.7500 0.8516  5 Sb 3.17-3.26
Hf 0.2500 0.7500 0.5000  4 Sb 3.04, 4 Hf 3.07
Hf 0.7500 0.2500 0.5000  4 Sb 3.04, 4 Hf 3.07
Sb 0.2500 0.2500 0.7569  4 Hf 3.04, 5 Sm 3.17-3.26
Sb 0.7500 0.7500 0.2431  4 Hf 3.04, 5 Sm 3.17-3.26

No. 8
DFT (GGA-PBE) results for crystalline Hf4Sn2Sb at its relaxed geometry.

Its crystal system is monoclinic. As for the energy relative to the elements, uncorrected: -0.0675 eV/atom. Its symmetry is No. 12. As for the energy relative to the lowest polymorph listed for this composition: 0.000 eV per atom. As for the density of states at the Fermi level: 4.5 states/eV/f.u.

abc: 7.5508 7.5508 7.3866
angles: 115.68 115.68 25.73
With the nearest neighbours (Å) after each atom.
Positions (direct):
Hf 0.0793 0.0793 0.2038  3 Hf 2.88-3.16, 1 Sb 2.90, 3 Sn 3.08-3.13
Hf 0.3674 0.3674 0.0989  3 Sn 2.94-3.15, 2 Hf 3.16, 2 Sb 3.21
Hf 0.6326 0.6326 0.9011  3 Sn 2.94-3.15, 2 Hf 3.16, 2 Sb 3.21
Hf 0.9207 0.9207 0.7962  3 Hf 2.88-3.16, 1 Sb 2.90, 3 Sn 3.08-3.13
Sn 0.2268 0.2268 0.6662  6 Hf 2.94-3.15, 1 Sb 3.00, 2 Sn 3.29
Sn 0.7732 0.7732 0.3338  6 Hf 2.94-3.15, 1 Sb 3.00, 2 Sn 3.29
Sb 0.0000 0.0000 0.5000  6 Hf 2.90-3.21, 2 Sn 3.00